Crystalline CuB2Br at its relaxed geometry. Source: Alexandria via LeMat-Bulk, functional PBE-GGA.

It has space group Fm-3m (No. 225), with a = 5.892 Å, b = 5.892 Å, c = 5.892 Å, α = 90.00°, β = 90.00° and γ = 90.00°. Symmetry generates all atoms from Cu at (0.000, 0.000, 0.000), B at (0.250, 0.250, 0.250) and Br at (0.000, 0.000, 0.500).

The value obtained for the energy above the most stable polymorph in this dataset is 805 meV/atom. The calculation puts the calculated total energy at -0.09929 Ha/atom. The calculation puts the uncorrected formation energy at 2079 meV/atom.